A geometry-optimized Tb2Be2SiSn structure. Source: the Open Quantum Materials Database, functional GGA-PBE.

## Properties
The calculation puts the final energy at -0.179 hartree per atom. The space group is No. 187. The crystal system is hexagonal.

Unit cell a=4.042 b=4.042 c=8.241 alpha=90.00 beta=90.00 gamma=120.00
Sites, in units of the cell vectors:
Be1 0.000 0.000 0.000
Be2 0.667 0.333 0.500
Si1 0.667 0.333 0.000
Sn1 0.000 0.000 0.500
Tb1 0.333 0.667 0.238
Tb2 0.333 0.667 0.762

***

A geometry-optimized TbGdCu2Sn2 structure. Source: the Open Quantum Materials Database, functional GGA-PBE.

## Properties
The calculation puts the final energy at -0.174 hartree per atom. The space group is No. 156. The crystal system is trigonal.

Unit cell a=4.553 b=4.553 c=7.274 alpha=90.00 beta=90.00 gamma=120.00
Sites, in units of the cell vectors:
Cu1 0.333 0.667 0.052
Cu2 0.667 0.333 0.549
Gd1 0.000 0.000 0.735
Sn1 0.333 0.667 0.464
Sn2 0.667 0.333 0.966
Tb1 0.000 0.000 0.235

***

A geometry-optimized BaLi2Au2 structure. Source: the Open Quantum Materials Database, functional GGA-PBE.

## Properties
The calculation puts the final energy at -0.111 hartree per atom. The space group is No. 139. The crystal system is tetragonal.

Unit cell a=6.834 b=6.834 c=6.834 alpha=142.34 beta=142.34 gamma=54.32
Sites, in units of the cell vectors:
Au1 0.379 0.379 0.000
Au2 0.621 0.621 0.000
Ba1 0.000 0.000 0.000
Li1 0.750 0.250 0.500
Li2 0.250 0.750 0.500

***

A geometry-optimized CuSn2Au structure. Source: the Open Quantum Materials Database, functional GGA-PBE.

## Properties
The calculation puts the final energy at -0.130 hartree per atom. The space group is No. 216. The energy above the most stable polymorph in this dataset is 0.3315 eV per atom. The crystal system is cubic.

Unit cell a=4.929 b=4.929 c=4.929 alpha=60.00 beta=60.00 gamma=60.00
Sites, in units of the cell vectors:
Au1 0.500 0.500 0.500
Cu1 0.250 0.250 0.250
Sn1 0.000 0.000 0.000
Sn2 0.750 0.750 0.750

***

A geometry-optimized AcLu structure. Source: the Open Quantum Materials Database, functional GGA-PBE.

## Properties
The calculation puts the final energy at -0.130 hartree per atom. The space group is No. 225. The energy above the most stable polymorph in this dataset is 0.6513 eV per atom. The crystal system is cubic. The calculation puts the formation energy at 1.57 eV per formula unit.

Unit cell a=4.878 b=4.878 c=4.878 alpha=60.00 beta=60.00 gamma=60.00
Last column: magnetic moment on the atom in μB.
Sites, in units of the cell vectors:
Ac1 0.000 0.000 0.000  0.03
Lu1 0.500 0.500 0.500  0.06

***

A geometry-optimized Pr2NdCd3PdAu2 structure. Source: the Open Quantum Materials Database, functional GGA-PBE.

## Properties
The calculation puts the final energy at -0.142 hartree per atom. The space group is No. 38. The crystal system is orthorhombic. The calculation puts the formation energy at -5.95 eV per formula unit.

Unit cell a=4.012 b=7.933 c=7.933 alpha=119.94 beta=90.00 gamma=90.00
Sites, in units of the cell vectors:
Au1 0.500 0.666 0.335
Au2 0.500 0.335 0.666
Cd1 0.500 0.251 0.251
Cd2 0.500 0.999 0.749
Cd3 0.500 0.749 0.999
Nd1 0.000 0.598 0.598
Pd1 0.000 0.999 0.999
Pr1 0.000 0.000 0.402
Pr2 0.000 0.402 0.000

***

A geometry-optimized ZrZnCuIr structure. Source: the Open Quantum Materials Database, functional GGA-PBE.

## Properties
The calculation puts the final energy at -0.215 hartree per atom. The space group is No. 216. The energy above the most stable polymorph in this dataset is 0.1363 eV per atom. The crystal system is cubic. The calculation puts the formation energy at -1.03 eV per formula unit.

Unit cell a=4.481 b=4.481 c=4.481 alpha=60.00 beta=60.00 gamma=60.00
Sites, in units of the cell vectors:
Cu1 0.750 0.750 0.750
Ir1 0.500 0.500 0.500
Zn1 0.000 0.000 0.000
Zr1 0.250 0.250 0.250

***

A geometry-optimized ScAlRe2 structure. Source: the Open Quantum Materials Database, functional GGA-PBE.

## Properties
The calculation puts the final energy at -0.326 hartree per atom. The space group is No. 216. The crystal system is cubic.

Unit cell a=4.468 b=4.468 c=4.468 alpha=60.00 beta=60.00 gamma=60.00
Sites, in units of the cell vectors:
Al1 0.500 0.500 0.500
Re1 0.000 0.000 0.000
Re2 0.750 0.750 0.750
Sc1 0.250 0.250 0.250

***

A geometry-optimized SbIr124 structure. Source: the Open Quantum Materials Database, functional GGA-PBE.

## Properties
The calculation puts the final energy at -0.324 hartree per atom. The space group is No. 225. The crystal system is cubic.

Unit cell a=13.658 b=13.658 c=13.658 alpha=60.00 beta=60.00 gamma=60.00
Sites, in units of the cell vectors:
Ir1 0.203 0.000 0.000
Ir2 0.402 0.000 0.000
Ir3 0.598 0.000 0.000
Ir4 0.797 0.000 0.000
Ir5 0.400 0.200 0.000
Ir6 0.797 0.203 0.000
Ir7 0.000 0.203 0.000
Ir8 0.400 0.400 0.000
Ir9 0.200 0.400 0.000
Ir10 0.598 0.402 0.000
Ir11 0.000 0.402 0.000
Ir12 0.000 0.598 0.000
Ir13 0.402 0.598 0.000
Ir14 0.600 0.600 0.000
Ir15 0.800 0.600 0.000
Ir16 0.000 0.797 0.000
Ir17 0.203 0.797 0.000
Ir18 0.600 0.800 0.000
Ir19 0.600 0.200 0.000
Ir20 0.200 0.600 0.000
Ir21 0.200 0.200 0.000
Ir22 0.600 0.600 0.200
Ir23 0.800 0.800 0.200
Ir24 0.800 0.200 0.200
Ir25 0.200 0.800 0.200
Ir26 0.200 0.200 0.200
Ir27 0.400 0.200 0.200
Ir28 0.200 0.400 0.200
Ir29 0.800 0.400 0.200
Ir30 0.800 0.600 0.200
Ir31 0.400 0.800 0.200
Ir32 0.600 0.800 0.200
Ir33 0.600 0.400 0.200
Ir34 0.400 0.600 0.200
Ir35 0.200 0.000 0.200
Ir36 0.600 0.000 0.200
Ir37 0.000 0.200 0.200
Ir38 0.000 0.600 0.200
Ir39 0.200 0.600 0.200
Ir40 0.600 0.200 0.200
Ir41 0.400 0.400 0.200
Ir42 0.000 0.400 0.200
Ir43 0.400 0.000 0.200
Ir44 0.797 0.000 0.203
Ir45 0.000 0.797 0.203
Ir46 0.000 0.000 0.203
Ir47 0.400 0.200 0.400
Ir48 0.000 0.200 0.400
Ir49 0.400 0.000 0.400
Ir50 0.000 0.400 0.400
Ir51 0.200 0.400 0.400
Ir52 0.200 0.000 0.400
Ir53 0.200 0.200 0.400
Ir54 0.600 0.200 0.400
Ir55 0.200 0.600 0.400
Ir56 0.800 0.600 0.400
Ir57 0.600 0.800 0.400
Ir58 0.200 0.800 0.400
Ir59 0.800 0.200 0.400
Ir60 0.800 0.400 0.400
Ir61 0.400 0.400 0.400
Ir62 0.400 0.800 0.400
Ir63 0.600 0.600 0.400
Ir64 0.600 0.400 0.400
Ir65 0.400 0.600 0.400
Ir66 0.800 0.800 0.400
Ir67 0.000 0.800 0.400
Ir68 0.800 0.000 0.400
Ir69 0.598 0.000 0.402
Ir70 0.000 0.598 0.402
Ir71 0.000 0.000 0.402
Ir72 0.402 0.000 0.598
Ir73 0.000 0.402 0.598
Ir74 0.000 0.000 0.598
Ir75 0.200 0.000 0.600
Ir76 0.000 0.200 0.600
Ir77 0.200 0.200 0.600
Ir78 0.400 0.400 0.600
Ir79 0.600 0.400 0.600
Ir80 0.400 0.600 0.600
Ir81 0.200 0.600 0.600
Ir82 0.600 0.200 0.600
Ir83 0.600 0.600 0.600
Ir84 0.800 0.400 0.600
Ir85 0.400 0.800 0.600
Ir86 0.400 0.200 0.600
Ir87 0.200 0.400 0.600
Ir88 0.200 0.800 0.600
Ir89 0.800 0.200 0.600
Ir90 0.800 0.800 0.600
Ir91 0.600 0.000 0.600
Ir92 0.000 0.600 0.600
Ir93 0.800 0.000 0.600
Ir94 0.800 0.600 0.600
Ir95 0.000 0.800 0.600
Ir96 0.600 0.800 0.600
Ir97 0.000 0.203 0.797
Ir98 0.000 0.000 0.797
Ir99 0.203 0.000 0.797
Ir100 0.600 0.000 0.800
Ir101 0.000 0.600 0.800
Ir102 0.600 0.600 0.800
Ir103 0.800 0.400 0.800
Ir104 0.000 0.400 0.800
Ir105 0.400 0.800 0.800
Ir106 0.000 0.800 0.800
Ir107 0.400 0.000 0.800
Ir108 0.800 0.000 0.800
Ir109 0.400 0.200 0.800
Ir110 0.600 0.400 0.800
Ir111 0.200 0.400 0.800
Ir112 0.600 0.200 0.800
Ir113 0.200 0.600 0.800
Ir114 0.400 0.600 0.800
Ir115 0.800 0.600 0.800
Ir116 0.600 0.800 0.800
Ir117 0.800 0.800 0.800
Ir118 0.800 0.200 0.800
Ir119 0.200 0.200 0.800
Ir120 0.200 0.800 0.800
Ir121 0.400 0.400 0.800
Ir122 0.800 0.400 0.000
Ir123 0.400 0.800 0.000
Ir124 0.800 0.800 0.000
Sb1 0.000 0.000 0.000

***

A geometry-optimized Sm4C2I2Br2Cl structure. Source: the Open Quantum Materials Database, functional GGA-PBE.

## Properties
The calculation puts the final energy at -0.199 hartree per atom. The space group is No. 12. The energy above the most stable polymorph in this dataset is 0.0094 eV per atom. The crystal system is monoclinic.

Unit cell a=9.975 b=9.975 c=8.170 alpha=102.54 beta=102.54 gamma=22.54
Sites, in units of the cell vectors:
Br1 0.169 0.169 0.328
Br2 0.831 0.831 0.672
C1 0.463 0.463 0.480
C2 0.537 0.537 0.520
Cl1 0.500 0.500 0.000
I1 0.838 0.838 0.118
I2 0.162 0.162 0.882
Sm1 0.002 0.002 0.297
Sm2 0.346 0.346 0.413
Sm3 0.654 0.654 0.587
Sm4 0.998 0.998 0.703

***

A geometry-optimized BiOs structure. Source: the Open Quantum Materials Database, functional GGA-PBE.

## Properties
The calculation puts the final energy at -0.227 hartree per atom. The space group is No. 216. The energy above the most stable polymorph in this dataset is 0.8411 eV per atom. The crystal system is cubic.

Unit cell a=4.321 b=4.321 c=4.321 alpha=60.00 beta=60.00 gamma=60.00
Sites, in units of the cell vectors:
Bi1 0.000 0.000 0.000
Os1 0.250 0.250 0.250

***

A geometry-optimized CoBOsPt structure. Source: the Open Quantum Materials Database, functional GGA-PBE.

## Properties
The calculation puts the final energy at -0.261 hartree per atom. The space group is No. 216. The energy above the most stable polymorph in this dataset is 0.0000 eV per atom. The crystal system is cubic.

Unit cell a=4.124 b=4.124 c=4.124 alpha=60.00 beta=60.00 gamma=60.00
Sites, in units of the cell vectors:
B1 0.000 0.000 0.000
Co1 0.750 0.750 0.750
Os1 0.250 0.250 0.250
Pt1 0.500 0.500 0.500

***

Q: Which formula does entry 5 have?
A: AcLu

***

Q: Number 12 is which compound?
A: CoBOsPt

***

Q: Which of these has the lowest final energy?
A: ScAlRe2